A relaxed structure of CaCOF2. Source: Alexandria, functional PBE.

## Properties
Its formation energy from raw total energies is -1.04 eV/atom. Its calculated total energy is -0.3692 Ry per atom. As for the density of states at the Fermi level: 0.487 states/eV/cell.

The structure in POSCAR format:
```
CaCOF2
1.0
4.012 0.000 0.000
0.000 4.012 0.000
0.000 0.000 3.470
Ca C O F
1 1 1 2
direct
0.000 0.000 0.000
0.500 0.500 0.500
0.500 0.500 0.000
0.000 0.500 0.500
0.500 0.000 0.500
```



A relaxed structure of RbCaCO3F. Source: Alexandria, functional PBE.

## Properties
Its formation energy from raw total energies is -2.44 eV/atom. Its calculated total energy is -0.4829 Ry per atom. As for the density of states at the Fermi level: 0.000 states/eV/cell.

The structure in POSCAR format:
```
RbCaCO3F
1.0
9.298 0.000 0.000
-4.649 8.052 0.000
0.000 0.000 4.495
Rb Ca C O F
3 3 3 9 3
direct
0.000 0.716 0.000
0.284 0.284 0.000
0.716 0.000 0.000
0.000 0.386 0.500
0.386 0.000 0.500
0.614 0.614 0.500
0.000 0.000 0.500
0.333 0.667 0.500
0.667 0.333 0.500
0.000 0.140 0.500
0.140 0.000 0.500
0.205 0.688 0.500
0.312 0.517 0.500
0.483 0.795 0.500
0.517 0.312 0.500
0.688 0.205 0.500
0.795 0.483 0.500
0.860 0.860 0.500
0.000 0.383 0.000
0.383 0.000 0.000
0.617 0.617 0.000
```



Which of these has the lowest calculated total energy?
RbCaCO3F



Which value of formation energy from raw total energies does entry 2 give?
-2.44 eV/atom



Look up the formation energy from raw total energies of the first one.
-1.04 eV/atom